The following is a DFT calculation (PBE-GGA) of a geometry-optimized PaGaCoGe structure.

a = 6.883 Å, b = 4.008 Å, c = 6.133 Å
α = 90.00°, β = 112.15°, γ = 90.00°
Space group Cm (No. 8)
Inequivalent atoms, fractional coordinates:
Pa1 0.000 0.000 0.000 [2 per cell]
Ga1 0.041 0.500 0.628 [2 per cell]
Co1 0.399 0.000 0.206 [2 per cell]
Ge1 0.295 0.500 0.386 [2 per cell]

Properties
The calculation puts the density of states at the Fermi level at 9.23 states/eV per cell. The value obtained for the spin magnetization is 0.00 Bohr magnetons per cell. The value obtained for the energy relative to the elements is -0.240 eV/atom.